This record from Alexandria via LeMat-Bulk describes crystalline Sr2ScSi at its relaxed geometry. The functional is PBE-GGA.

Its raw formation energy is -36 kJ/mol of formula units. As for the crystal system: orthorhombic.

The structure belongs to space group Imm2 (No. 44); the cell edges are 3.9715, 5.5195 and 11.8859 Å and the angles 90.00°, 90.00° and 90.00°. The distinct sites, in fractional coordinates, are Sr at (0.0000, 0.0000, 0.0000), Sr at (0.0000, 0.5000, 0.1959), Sc at (0.0000, 0.5000, 0.8184) and Si at (0.0000, 0.0000, 0.4702).